i.
Density functional theory data (PBE) for a relaxed structure of Pm3Eu.

Output
Total moment in μB per formula unit: 7.28
Space-group type: Pmm2

Lattice parameters (Å, degrees): 3.713 5.942 6.487 90.00 90.00 90.00
Element x y z (fractional)
Eu 0.000 0.500 0.331
Pm 0.500 0.500 0.832
Pm 0.000 0.000 0.995
Pm 0.500 0.000 0.508


ii.
Density functional theory data (PBE) for a relaxed structure of Pm3Eu.

Output
Total moment in μB per formula unit: 7.55
Space-group type: P6_3/mmc

Lattice parameters (Å, degrees): 7.466 7.466 5.944 90.00 90.00 120.00
Element x y z (fractional)
Pm 0.836 0.673 0.750
Pm 0.164 0.836 0.250
Pm 0.673 0.836 0.250
Pm 0.836 0.164 0.750
Pm 0.164 0.327 0.250
Pm 0.327 0.164 0.750
Eu 0.667 0.333 0.250
Eu 0.333 0.667 0.750


Verdict on stability: ii comes out at the bottom.


i.
Density functional theory data (PBE) for a relaxed structure of Pm2PrEu.

Output
Total moment in μB per formula unit: 7.57
Space-group type: P4/mmm

Lattice parameters (Å, degrees): 3.725 3.725 10.500 90.00 90.00 90.00
Element x y z (fractional)
Eu 0.500 0.500 0.500
Pr 0.500 0.500 0.000
Pm 0.000 0.000 0.761
Pm 0.000 0.000 0.239


ii.
Density functional theory data (PBE) for a relaxed structure of Pm2PrEu.

Output
Total moment in μB per formula unit: 7.14
Space-group type: P4/mmm

Lattice parameters (Å, degrees): 5.248 5.237 5.237 90.00 90.00 90.00
Element x y z (fractional)
Eu 0.500 0.500 0.500
Pm 0.000 0.500 0.000
Pm 0.000 0.000 0.500
Pr 0.500 0.000 0.000


Verdict on stability: ii comes out at the bottom.


i.
Density functional theory data (PBE) for a relaxed structure of PmEuPu.

Output
Total moment in μB per formula unit: 0.99
Space-group type: I4mm

Lattice parameters (Å, degrees): 3.564 3.564 8.258 102.46 102.46 90.00
Element x y z (fractional)
Pu 0.673 0.673 0.346
Pm 0.326 0.326 0.652
Eu 0.001 0.001 0.003


ii.
Density functional theory data (PBE) for a relaxed structure of PmEuPu.

Output
Total moment in μB per formula unit: 1.16
Space-group type: P3m1

Lattice parameters (Å, degrees): 3.615 3.615 8.908 90.00 90.00 120.00
Element x y z (fractional)
Eu 0.000 0.000 0.003
Pm 0.333 0.667 0.655
Pu 0.667 0.333 0.342


Verdict on stability: ii comes out at the bottom.


i.
Density functional theory data (PBE) for a relaxed structure of Pm2EuRu.

Output
Total moment in μB per formula unit: 7.58
Space-group type: P4/mmm

Lattice parameters (Å, degrees): 3.515 3.515 9.752 90.00 90.00 90.00
Element x y z (fractional)
Pm 0.000 0.000 0.173
Pm 0.000 0.000 0.827
Ru 0.500 0.500 0.000
Eu 0.500 0.500 0.500


ii.
Density functional theory data (PBE) for a relaxed structure of Pm2EuRu.

Output
Total moment in μB per formula unit: 7.45
Space-group type: R-3m

Lattice parameters (Å, degrees): 3.933 3.933 10.887 79.59 79.59 60.00
Element x y z (fractional)
Pm 0.884 0.884 0.349
Pm 0.116 0.116 0.651
Ru 0.500 0.500 0.500
Eu 0.000 0.000 0.000


Verdict on stability: ii comes out at the bottom.


i.
Density functional theory data (PBE) for a relaxed structure of Pm2EuSc.

Output
Total moment in μB per formula unit: 7.17
Space-group type: P4/mmm

Lattice parameters (Å, degrees): 5.015 5.087 5.087 90.00 90.00 90.00
Element x y z (fractional)
Pm 0.000 0.500 0.000
Pm 0.000 0.000 0.500
Eu 0.500 0.500 0.500
Sc 0.500 0.000 0.000


ii.
Density functional theory data (PBE) for a relaxed structure of Pm2EuSc.

Output
Total moment in μB per formula unit: 8.16
Space-group type: R-3m

Lattice parameters (Å, degrees): 3.527 3.527 12.578 81.94 81.94 60.00
Element x y z (fractional)
Pm 0.094 0.094 0.719
Pm 0.906 0.906 0.281
Sc 0.500 0.500 0.500
Eu 0.000 0.000 0.000


Verdict on stability: ii comes out at the bottom.


i.
Density functional theory data (PBE) for a relaxed structure of Pm2EuSc.

Output
Total moment in μB per formula unit: 7.60
Space-group type: Fm-3m

Lattice parameters (Å, degrees): 5.699 5.699 5.699 60.00 60.00 60.00
Element x y z (fractional)
Sc 0.500 0.500 0.500
Eu 0.000 0.000 0.000
Pm 0.250 0.250 0.250
Pm 0.750 0.750 0.750


ii.
Density functional theory data (PBE) for a relaxed structure of Pm2EuSc.

Output
Total moment in μB per formula unit: 7.05
Space-group type: P4/mmm

Lattice parameters (Å, degrees): 3.663 3.663 9.848 90.00 90.00 90.00
Element x y z (fractional)
Eu 0.500 0.500 0.500
Pm 0.000 0.000 0.778
Pm 0.000 0.000 0.222
Sc 0.500 0.500 0.000


Verdict on stability: i comes out at the bottom.